Record 1
# DyThIn6

A geometry-optimized DyThIn6 structure (PBE-GGA, the Alexandria database).

Structure (extended XYZ):
```
8
Lattice="-2.158 2.672 3.195 -0.734 -3.786 2.670 8.196 1.456 4.318" Properties=species:S:1:pos:R:3 pbc="T T T"
In 1.732 -1.520 2.441
In 2.652 0.171 5.092
In 5.018 2.419 4.810
In 1.020 1.709 2.704
In 5.730 -0.810 4.547
In -1.446 -0.557 2.933
Dy 4.098 0.728 2.159
Th 0.000 0.000 0.000
```

Output
The volume comes out at 206.4 Å³/cell. Its crystal system is tetragonal. The mass density comes out at 8.718 g/cm³. For the total magnetization, the calculation gives 0.00 μB/f.u. The value obtained for the electronic total energy is -3.94 eV per atom. The value obtained for the formation energy is -0.384 eV/atom.

Record 2
# DyThTiIn

A geometry-optimized DyThTiIn structure (PBE-GGA, the Alexandria database).

Structure (extended XYZ):
```
4
Lattice="5.334 0.000 0.000 2.667 4.619 0.000 2.667 1.540 4.355" Properties=species:S:1:pos:R:3 pbc="T T T"
Th 5.334 3.080 2.178
In 2.667 1.540 1.089
Dy 0.000 0.000 0.000
Ti 8.001 4.619 3.266
```

Output
The volume comes out at 107.3 Å³/cell. Its crystal system is cubic. The mass density comes out at 8.623 g/cm³. For the total magnetization, the calculation gives 2.77 μB/f.u. The value obtained for the electronic total energy is -5.66 eV per atom. The value obtained for the formation energy is 0.001 eV/atom.

Record 3
# DyTmThIn

A geometry-optimized DyTmThIn structure (PBE-GGA, the Alexandria database).

Structure (extended XYZ):
```
4
Lattice="5.440 0.000 0.000 2.720 4.711 0.000 2.720 1.570 4.441" Properties=species:S:1:pos:R:3 pbc="T T T"
Dy 2.720 1.570 1.110
Th 5.440 3.141 2.221
Tm 8.159 4.711 3.331
In 0.000 0.000 0.000
```

Output
The volume comes out at 113.8 Å³/cell. Its crystal system is cubic. The mass density comes out at 9.896 g/cm³. For the total magnetization, the calculation gives 0.69 μB/f.u. The value obtained for the electronic total energy is -4.82 eV per atom. The value obtained for the formation energy is -0.015 eV/atom.

Record 4
# Dy5TmThIn2

A geometry-optimized Dy5TmThIn2 structure (PBE-GGA, the Alexandria database).

Structure (extended XYZ):
```
18
Lattice="7.597 0.000 0.000 0.000 7.597 0.000 -3.799 -3.799 9.704" Properties=species:S:1:pos:R:3 pbc="T T T"
Dy 5.350 6.045 2.436
Dy 2.247 1.552 2.436
Dy 6.045 2.247 2.436
Dy -1.552 -2.247 7.268
Dy 1.552 2.247 7.268
Dy 0.000 0.000 0.000
Dy 3.799 3.799 0.000
Dy 1.552 5.350 2.436
Dy -2.247 1.552 7.268
Dy 2.247 -1.552 7.268
Th 3.799 3.799 4.852
Th 0.000 0.000 4.852
In 6.658 4.738 0.000
In 2.859 6.658 0.000
In 0.939 2.859 0.000
In 4.738 0.939 0.000
Tm 3.799 0.000 4.852
Tm 0.000 3.799 4.852
```

Output
The volume comes out at 560.1 Å³/cell. Its crystal system is tetragonal. The mass density comes out at 8.557 g/cm³. For the total magnetization, the calculation gives 0.00 μB/f.u. The value obtained for the electronic total energy is -4.47 eV per atom. The value obtained for the formation energy is 0.017 eV/atom.

Record 5
# Dy2ThZn2In2

A geometry-optimized Dy2ThZn2In2 structure (PBE-GGA, the Alexandria database).

Structure (extended XYZ):
```
7
Lattice="4.673 0.000 0.000 2.336 4.047 0.000 2.336 1.349 9.515" Properties=species:S:1:pos:R:3 pbc="T T T"
Zn 4.673 2.698 1.761
Zn 4.673 2.698 7.754
In 7.009 4.047 7.364
In 2.336 1.349 2.150
Dy 2.336 1.349 5.844
Dy 7.009 4.047 3.671
Th 0.000 0.000 0.000
```

Output
The volume comes out at 179.9 Å³/cell. Its crystal system is trigonal. The mass density comes out at 8.469 g/cm³. For the total magnetization, the calculation gives 0.00 μB/f.u. The value obtained for the electronic total energy is -3.74 eV per atom. The value obtained for the formation energy is -0.219 eV/atom.

Record 6
# Dy2TiIn

A geometry-optimized Dy2TiIn structure (PBE-GGA, the Alexandria database).

Structure (extended XYZ):
```
4
Lattice="3.307 0.000 0.000 1.653 2.864 0.000 1.653 0.955 11.324" Properties=species:S:1:pos:R:3 pbc="T T T"
In 3.307 1.909 5.662
Dy 1.653 0.955 8.359
Dy 4.960 2.864 2.965
Ti 0.000 0.000 0.000
```

Output
The volume comes out at 107.2 Å³/cell. Its crystal system is trigonal. The mass density comes out at 7.553 g/cm³. For the total magnetization, the calculation gives 2.07 μB/f.u. The value obtained for the electronic total energy is -4.67 eV per atom. The value obtained for the formation energy is 0.288 eV/atom. The energy above the lowest structure with this stoichiometry is 398.3 meV/atom.

Record 7
# DyTiIn2

A geometry-optimized DyTiIn2 structure (PBE-GGA, the Alexandria database).

Structure (extended XYZ):
```
4
Lattice="-3.062 1.184 3.073 -2.819 -3.157 -1.593 1.738 -3.012 2.892" Properties=species:S:1:pos:R:3 pbc="T T T"
Ti -1.531 0.592 1.536
Dy -2.071 -2.493 2.186
In 0.869 -1.506 1.446
In -1.410 -1.579 -0.797
```

Output
The volume comes out at 92.0 Å³/cell. Its crystal system is tetragonal. The mass density comes out at 7.944 g/cm³. For the total magnetization, the calculation gives 1.65 μB/f.u. The value obtained for the electronic total energy is -4.72 eV per atom. The value obtained for the formation energy is -0.231 eV/atom.

Record 8
# Dy2TiIn

A geometry-optimized Dy2TiIn structure (PBE-GGA, the Alexandria database).

Structure (extended XYZ):
```
4
Lattice="-4.090 -1.767 0.646 1.896 -3.411 2.676 -0.561 2.703 3.843" Properties=species:S:1:pos:R:3 pbc="T T T"
In -2.045 -0.883 0.323
Ti -1.378 -1.237 3.582
Dy -0.281 1.352 1.921
Dy 0.948 -1.705 1.338
```

Output
The volume comes out at 100.8 Å³/cell. Its crystal system is tetragonal. The mass density comes out at 8.035 g/cm³. For the total magnetization, the calculation gives 1.97 μB/f.u. The value obtained for the electronic total energy is -5.07 eV per atom. The value obtained for the formation energy is -0.110 eV/atom. The energy above the lowest structure with this stoichiometry is 0.0 meV/atom.

Record 9
# DyTi2In

A geometry-optimized DyTi2In structure (PBE-GGA, the Alexandria database).

Structure (extended XYZ):
```
4
Lattice="4.327 0.000 0.000 0.000 4.419 0.000 0.000 0.000 4.419" Properties=species:S:1:pos:R:3 pbc="T T T"
In 2.164 2.210 2.210
Ti 0.000 0.000 2.210
Ti 0.000 2.210 0.000
Dy 2.164 0.000 0.000
```

Output
The volume comes out at 84.5 Å³/cell. Its crystal system is tetragonal. The mass density comes out at 7.330 g/cm³. For the total magnetization, the calculation gives 0.00 μB/f.u. The value obtained for the electronic total energy is -5.80 eV per atom. The value obtained for the formation energy is -0.020 eV/atom.

Record 10
# DyTiIn2

A geometry-optimized DyTiIn2 structure (PBE-GGA, the Alexandria database).

Structure (extended XYZ):
```
4
Lattice="-2.490 2.516 0.911 -0.273 -1.478 3.332 5.007 4.142 2.247" Properties=species:S:1:pos:R:3 pbc="T T T"
Dy 1.122 2.590 3.245
In 3.908 3.233 1.754
In 1.099 0.909 0.493
Ti -1.382 0.519 2.122
```

Output
The volume comes out at 91.9 Å³/cell. Its crystal system is tetragonal. The mass density comes out at 7.953 g/cm³. For the total magnetization, the calculation gives 0.93 μB/f.u. The value obtained for the electronic total energy is -4.71 eV per atom. The value obtained for the formation energy is -0.212 eV/atom.

Record 11
# DyTiIn

A geometry-optimized DyTiIn structure (PBE-GGA, the Alexandria database).

Structure (extended XYZ):
```
6
Lattice="4.273 0.000 0.000 0.000 4.273 0.000 0.000 0.000 8.086" Properties=species:S:1:pos:R:3 pbc="T T T"
In 2.137 0.000 2.024
In 0.000 2.137 6.061
Ti 0.000 0.000 0.000
Ti 2.137 2.137 0.000
Dy 2.137 0.000 5.338
Dy 0.000 2.137 2.748
```

Output
The volume comes out at 147.6 Å³/cell. Its crystal system is tetragonal. The mass density comes out at 7.315 g/cm³. For the total magnetization, the calculation gives 0.84 μB/f.u. The value obtained for the electronic total energy is -5.27 eV per atom. The value obtained for the formation energy is -0.188 eV/atom. The energy above the lowest structure with this stoichiometry is 0.0 meV/atom.

Record 12
# DyTiIn

A geometry-optimized DyTiIn structure (PBE-GGA, the Alexandria database).

Structure (extended XYZ):
```
3
Lattice="3.094 0.000 0.000 0.000 5.085 0.000 0.000 -2.542 4.404" Properties=species:S:1:pos:R:3 pbc="T T T"
Ti 0.522 0.000 2.936
In 2.060 2.542 1.468
Dy 0.511 0.000 0.000
```

Output
The volume comes out at 69.3 Å³/cell. Its crystal system is trigonal. The mass density comes out at 7.794 g/cm³. For the total magnetization, the calculation gives 2.13 μB/f.u. The value obtained for the electronic total energy is -5.01 eV per atom. The value obtained for the formation energy is 0.068 eV/atom. The energy above the lowest structure with this stoichiometry is 255.9 meV/atom.

Number 11 is which compound?
DyTiIn